Record 1
Computed, not measured: an optimized crystal structure of LaTa2Sb at the PBE level of DFT.

Results
SG: P4/mmm (123)
Formation energy from raw total energies in meV/atom: 213
Total magnetic moment in Bohr magnetons per cell: 0.00
Final energy in eV/f.u.: -31.904
Volume in Å³/atom: 23.54
Density of states at the Fermi level in states/eV per atom: 0.82

Cell: 3.6986 3.6986 6.8842 Å, 90.00 90.00 90.00°
Sites, in units of the cell vectors:
La (0.5000, 0.5000, 0.2500)
Sb (0.5000, 0.5000, 0.7500)
Ta (0.0000, 0.0000, 0.9393)
Ta (0.0000, 0.0000, 0.5607)

Record 2
Computed, not measured: an optimized crystal structure of LaTaSb2Te at the PBE level of DFT.

Results
SG: P4/mmm (123)
Formation energy from raw total energies in meV/atom: -156
Total magnetic moment in Bohr magnetons per cell: 0.00
Final energy in eV/f.u.: -28.945
Volume in Å³/atom: 31.58
Density of states at the Fermi level in states/eV per atom: 0.58

Cell: 5.3234 5.3234 5.5724 Å, 90.00 90.00 90.00°
Sites, in units of the cell vectors:
Sb (0.0000, 0.5000, 0.0000)
Sb (0.5000, 0.0000, 0.0000)
La (0.5000, 0.5000, 0.5000)
Te (0.0000, 0.0000, 0.5000)
Ta (0.0000, 0.0000, 0.0000)

Record 3
Computed, not measured: an optimized crystal structure of LaTaSbTe2 at the PBE level of DFT.

Results
SG: P4/mmm (123)
Formation energy from raw total energies in meV/atom: -246
Total magnetic moment in Bohr magnetons per cell: 0.00
Final energy in eV/f.u.: -28.414
Volume in Å³/atom: 31.72
Density of states at the Fermi level in states/eV per atom: 0.53

Cell: 5.4113 5.4113 5.4164 Å, 90.00 90.00 90.00°
Sites, in units of the cell vectors:
Sb (0.0000, 0.0000, 0.5000)
La (0.5000, 0.5000, 0.5000)
Te (0.0000, 0.5000, 0.0000)
Te (0.5000, 0.0000, 0.0000)
Ta (0.0000, 0.0000, 0.0000)

Record 4
Computed, not measured: an optimized crystal structure of LaTaSb2Te at the PBE level of DFT.

Results
SG: P4/mmm (123)
Formation energy from raw total energies in meV/atom: 1338
Total magnetic moment in Bohr magnetons per cell: 2.77
Final energy in eV/f.u.: -21.477
Volume in Å³/atom: 41.57
Density of states at the Fermi level in states/eV per atom: 1.75

Cell: 5.9214 5.9214 5.9277 Å, 90.00 90.00 90.00°
Last column: magnetic moment on the atom in μB.
Sites, in units of the cell vectors:
Sb (0.0000, 0.5000, 0.0000)  0.10
Sb (0.5000, 0.0000, 0.0000)  0.10
La (0.0000, 0.0000, 0.0000)  0.02
Te (0.0000, 0.0000, 0.5000)  0.06
Ta (0.5000, 0.5000, 0.5000)  -2.18

Record 5
Computed, not measured: an optimized crystal structure of La5Tb12Sb3 at the PBE level of DFT.

Results
SG: Ia-3d (230)
Formation energy from raw total energies in meV/atom: 522
Total magnetic moment in Bohr magnetons per cell: 0.00
Final energy in eV/f.u.: -82.137
Volume in Å³/atom: 36.36
Density of states at the Fermi level in states/eV per atom: 1.23

Cell: 15.5752 15.5752 15.5752 Å, 109.47 109.47 109.47°
Sites, in units of the cell vectors:
Sb (0.7500, 0.3750, 0.1250)
Sb (0.8750, 0.7500, 0.1250)
Sb (0.3750, 0.7500, 0.6250)
Sb (0.2500, 0.1250, 0.3750)
Sb (0.8750, 0.1250, 0.2500)
Sb (0.3750, 0.6250, 0.2500)
Sb (0.6250, 0.3750, 0.7500)
Sb (0.1250, 0.8750, 0.7500)
Sb (0.7500, 0.8750, 0.6250)
Sb (0.6250, 0.2500, 0.3750)
Sb (0.1250, 0.2500, 0.8750)
Sb (0.2500, 0.6250, 0.8750)
La (0.1250, 0.3750, 0.2500)
La (0.0000, 0.5000, 0.0000)
La (0.0000, 0.0000, 0.0000)
La (0.3750, 0.2500, 0.1250)
La (0.5000, 0.0000, 0.5000)
La (0.5000, 0.5000, 0.0000)
La (0.1250, 0.7500, 0.3750)
La (0.7500, 0.1250, 0.8750)
La (0.7500, 0.6250, 0.3750)
La (0.3750, 0.1250, 0.7500)
La (0.6250, 0.8750, 0.2500)
La (0.5000, 0.5000, 0.5000)
La (0.5000, 0.0000, 0.0000)
La (0.0000, 0.0000, 0.5000)
La (0.2500, 0.3750, 0.6250)
La (0.2500, 0.8750, 0.1250)
La (0.0000, 0.5000, 0.5000)
La (0.8750, 0.2500, 0.6250)
La (0.6250, 0.7500, 0.8750)
La (0.8750, 0.6250, 0.7500)
Tb (0.7320, 0.1455, 0.0712)
Tb (0.3392, 0.5712, 0.4257)
Tb (0.9288, 0.3545, 0.2680)
Tb (0.5712, 0.2320, 0.1455)
Tb (0.5865, 0.7320, 0.6608)
Tb (0.9288, 0.5743, 0.1608)
Tb (0.3392, 0.7680, 0.4135)
Tb (0.0743, 0.9135, 0.1455)
Tb (0.5743, 0.9288, 0.6608)
Tb (0.7320, 0.5865, 0.1608)
Tb (0.7680, 0.4288, 0.3545)
Tb (0.8392, 0.9257, 0.0712)
Tb (0.1455, 0.7320, 0.5712)
Tb (0.3545, 0.4257, 0.0865)
Tb (0.0865, 0.9257, 0.3545)
Tb (0.4135, 0.1455, 0.5743)
Tb (0.0865, 0.1608, 0.2320)
Tb (0.4288, 0.6608, 0.0743)
Tb (0.8392, 0.9135, 0.2680)
Tb (0.1455, 0.4135, 0.0743)
Tb (0.3545, 0.9288, 0.7680)
Tb (0.5743, 0.6455, 0.4135)
Tb (0.9257, 0.8392, 0.5712)
Tb (0.7680, 0.3392, 0.9135)
Tb (0.4257, 0.3545, 0.5865)
Tb (0.0743, 0.1608, 0.4288)
Tb (0.2320, 0.6608, 0.0865)
Tb (0.1608, 0.0865, 0.7320)
Tb (0.6455, 0.0712, 0.2320)
Tb (0.8545, 0.5865, 0.9257)
Tb (0.5712, 0.3392, 0.9257)
Tb (0.5865, 0.8545, 0.4257)
Tb (0.9135, 0.8392, 0.7680)
Tb (0.9135, 0.0743, 0.6455)
Tb (0.8545, 0.2680, 0.4288)
Tb (0.1608, 0.0743, 0.9288)
Tb (0.6455, 0.5743, 0.9135)
Tb (0.4257, 0.0712, 0.3392)
Tb (0.2680, 0.4135, 0.8392)
Tb (0.2320, 0.5712, 0.6455)
Tb (0.9257, 0.0865, 0.8545)
Tb (0.6608, 0.2320, 0.5865)
Tb (0.4288, 0.7680, 0.8545)
Tb (0.0712, 0.4257, 0.8392)
Tb (0.4135, 0.2680, 0.3392)
Tb (0.0712, 0.6455, 0.7320)
Tb (0.6608, 0.4288, 0.5743)
Tb (0.2680, 0.8545, 0.9288)

Record 6
Computed, not measured: an optimized crystal structure of La3TbSb2 at the PBE level of DFT.

Results
SG: Ibam (72)
Formation energy from raw total energies in meV/atom: -864
Total magnetic moment in Bohr magnetons per cell: 0.00
Final energy in eV/f.u.: -32.843
Volume in Å³/atom: 32.29
Density of states at the Fermi level in states/eV per atom: 1.01

Cell: 6.5868 6.5536 10.1063 Å, 108.92 109.02 90.00°
Sites, in units of the cell vectors:
La (0.4289, 0.6774, 0.3547)
La (0.5711, 0.3226, 0.6453)
La (0.0742, 0.8226, 0.6453)
La (0.9258, 0.1774, 0.3547)
La (0.5000, 0.7500, 0.0000)
La (0.5000, 0.2500, 0.0000)
Tb (0.0000, 0.2500, 0.0000)
Tb (0.0000, 0.7500, 0.0000)
Sb (0.3804, 0.1369, 0.2737)
Sb (0.6196, 0.8631, 0.7263)
Sb (0.1067, 0.3631, 0.7263)
Sb (0.8933, 0.6369, 0.2737)

Q: Which value of total magnetic moment does entry 2 give?
A: 0.00 Bohr magnetons per cell

Q: Among the records above, which one has the highest formation energy from raw total energies?
A: number 4

Q: volume of number 2 (LaTaSb2Te)?
A: 31.58 Å³/atom